Entry from the Alexandria database: an optimized crystal structure of ErLuScCd (GGA-PBE).

## Properties
- SG = F-43m
- raw total energy (eV/atom) = -4.11
- D(E_F) (states/eV/atom) = 1.3258
- E_form (eV per formula unit) = -0.1

a b c (Å): 5.2801 5.2801 5.2801
angles (deg): 60.00 60.00 60.00
Closest atoms and distances in Å follow each position.
Fractional positions:
Sc: 0.2500 0.2500 0.2500  4 Er 3.23, 4 Lu 3.23
Cd: 0.7500 0.7500 0.7500  4 Er 3.23, 4 Lu 3.23
Lu: 0.0000 0.0000 0.0000  4 Cd 3.23, 4 Sc 3.23
Er: 0.5000 0.5000 0.5000  4 Cd 3.23, 4 Sc 3.23

=====

Entry from the Alexandria database: an optimized crystal structure of SmErLuCd (GGA-PBE).

## Properties
- SG = F-43m
- raw total energy (eV/atom) = -3.72
- D(E_F) (states/eV/atom) = 1.1839
- E_form (eV per formula unit) = -0.2

a b c (Å): 5.4290 5.4290 5.4290
angles (deg): 60.00 60.00 60.00
Closest atoms and distances in Å follow each position.
Fractional positions:
Cd: 0.7500 0.7500 0.7500  4 Er 3.32, 4 Sm 3.32
Lu: 0.2500 0.2500 0.2500  4 Er 3.32, 4 Sm 3.32
Sm: 0.0000 0.0000 0.0000  4 Cd 3.32, 4 Lu 3.32
Er: 0.5000 0.5000 0.5000  4 Lu 3.32, 4 Cd 3.32

=====

Entry from the Alexandria database: an optimized crystal structure of ErLuCdSn (GGA-PBE).

## Properties
- SG = F-43m
- raw total energy (eV/atom) = -3.94
- D(E_F) (states/eV/atom) = 0.9473
- E_form (eV per formula unit) = -1.7

a b c (Å): 5.2249 5.2249 5.2249
angles (deg): 60.00 60.00 60.00
Closest atoms and distances in Å follow each position.
Fractional positions:
Cd: 0.7500 0.7500 0.7500  4 Er 3.20, 4 Lu 3.20
Lu: 0.0000 0.0000 0.0000  4 Cd 3.20, 4 Sn 3.20
Sn: 0.2500 0.2500 0.2500  4 Er 3.20, 4 Lu 3.20
Er: 0.5000 0.5000 0.5000  4 Sn 3.20, 4 Cd 3.20

=====

Entry from the Alexandria database: an optimized crystal structure of ErLuThCd (GGA-PBE).

## Properties
- SG = F-43m
- raw total energy (eV/atom) = -4.32
- D(E_F) (states/eV/atom) = 1.8500
- E_form (eV per formula unit) = 0.1

a b c (Å): 5.4389 5.4389 5.4389
angles (deg): 60.00 60.00 60.00
Closest atoms and distances in Å follow each position.
Fractional positions:
Cd: 0.7500 0.7500 0.7500  4 Er 3.33, 4 Th 3.33
Lu: 0.2500 0.2500 0.2500  4 Th 3.33, 4 Er 3.33
Th: 0.5000 0.5000 0.5000  4 Cd 3.33, 4 Lu 3.33
Er: 0.0000 0.0000 0.0000  4 Cd 3.33, 4 Lu 3.33

=====

Question: Which of these has the highest raw total energy?
Answer: SmErLuCd

=====

Question: D(E_F) of number 2 (SmErLuCd)?
Answer: 1.1839 states/eV/atom

=====

Question: What is the formula in the second record?
Answer: SmErLuCd

=====

Question: What is the E_form in the first record?
Answer: -0.1 eV per formula unit